Computed, not measured: an optimized crystal structure of RbCa2H at the GGA-PBE level of DFT.

Computed properties:
Space-group type: Fm-3m (225)
Uncorrected energy: -21.88 eV/cell
Energy above the most stable polymorph in this dataset: 750 meV per atom
Spin magnetization: 0.0 μB/cell

Lattice parameters (Å, degrees): 8.6713 8.6713 8.6713 90.00 90.00 90.00
Closest atoms and distances in Å follow each position.
Sites, in units of the cell vectors:
Rb 0.0000 0.0000 0.0000  8 Ca 3.75
Rb 0.0000 0.5000 0.5000  8 Ca 3.75
Rb 0.5000 0.0000 0.5000  8 Ca 3.75
Rb 0.5000 0.5000 0.0000  8 Ca 3.75
Ca 0.2500 0.2500 0.2500  4 H 3.75, 4 Rb 3.75
Ca 0.2500 0.2500 0.7500  4 H 3.75, 4 Rb 3.75
Ca 0.2500 0.7500 0.2500  4 H 3.75, 4 Rb 3.75
Ca 0.2500 0.7500 0.7500  4 H 3.75, 4 Rb 3.75
Ca 0.7500 0.2500 0.2500  4 H 3.75, 4 Rb 3.75
Ca 0.7500 0.2500 0.7500  4 H 3.75, 4 Rb 3.75
Ca 0.7500 0.7500 0.2500  4 H 3.75, 4 Rb 3.75
Ca 0.7500 0.7500 0.7500  4 H 3.75, 4 Rb 3.75
H 0.0000 0.0000 0.5000  8 Ca 3.75
H 0.0000 0.5000 0.0000  8 Ca 3.75
H 0.5000 0.0000 0.0000  8 Ca 3.75
H 0.5000 0.5000 0.5000  8 Ca 3.75